## Zr3Ag (SCAN)

Data for a PBEsol-optimized structure of Zr3Ag.

The structure in extended XYZ format:
```
4
Lattice="5.038 0.000 0.000 0.000 5.038 0.000 0.000 0.000 3.203" Properties=species:S:1:pos:R:3 pbc="T T T"
Zr 0.000 0.000 0.000
Zr 0.000 2.519 1.601
Zr 2.519 0.000 1.601
Ag 2.519 2.519 0.000
```

## Properties
crystal system = tetragonal
formation energy from the elements = 3.7 kJ/mol of atoms
symmetry = P4/mmm, No. 123